18
Lattice="3.8103 2.1999 6.5062 -3.8103 2.1999 6.5062 0.0000 -4.3998 6.5062" Properties=species:S:1:pos:R:3 comment="DyTl2V3F12 PBE+U relaxed" final_energy_ev_per_fu=-105.3 dos_ef_per_ev_cell=6.70 pbc="T T T"
Dy 0.0000 0.0000 0.0000
Tl 0.0000 0.0000 7.9580
Tl 0.0000 0.0000 11.5606
V -3.8103 0.0000 9.7593
V -1.9052 1.0999 3.2531
V 1.9052 1.0999 3.2531
F 0.0000 -2.5924 5.2813
F -2.2451 1.2962 5.2813
F -2.2556 -1.3023 9.4565
F 0.0000 -2.6046 10.0621
F -2.2556 1.3023 10.0621
F -2.2451 -1.2962 14.2372
F 2.2451 1.2962 5.2813
F 2.2556 -1.3023 9.4565
F 0.0000 2.6046 9.4565
F 2.2556 1.3023 10.0621
F 2.2451 -1.2962 14.2372
F 0.0000 2.5924 14.2372